Entry 1:
This record from Alexandria via LeMat-Bulk describes crystalline LaFe2Si at its relaxed geometry. The functional is PBE.

Calculated values
E_tot, eV per atom: -7.1820
Magnetization, Bohr magnetons per cell: 2.5
Space group: C2/m (12)

Cell: 4.091 4.091 5.613 Å, 68.71 68.71 60.00°
Sites, in units of the cell vectors:
La  0.250  0.250  0.250
Si  0.750  0.750  0.750
Fe  0.433  0.433  0.701
Fe  0.067  0.067  0.799


Entry 2:
This record from Alexandria via LeMat-Bulk describes crystalline LaFe12Si6 at its relaxed geometry. The functional is PBE.

Calculated values
E_tot, eV per atom: -7.5690
Magnetization, Bohr magnetons per cell: 19.0
Space group: R-3m (166)

Cell: 6.611 6.611 6.611 Å, 105.11 105.11 105.11°
Sites, in units of the cell vectors:
Fe  0.128  0.500  0.872
Fe  0.439  0.439  0.166
Fe  0.500  0.128  0.872
Fe  0.872  0.128  0.500
Fe  0.500  0.872  0.128
Fe  0.834  0.561  0.561
Fe  0.166  0.439  0.439
Fe  0.561  0.561  0.834
Fe  0.128  0.872  0.500
Fe  0.439  0.166  0.439
Fe  0.872  0.500  0.128
Fe  0.561  0.834  0.561
Si  0.241  0.241  0.698
Si  0.759  0.302  0.759
Si  0.759  0.759  0.302
Si  0.698  0.241  0.241
Si  0.241  0.698  0.241
Si  0.302  0.759  0.759
La  0.000  0.000  0.000


Entry 3:
This record from Alexandria via LeMat-Bulk describes crystalline LaFe2Si at its relaxed geometry. The functional is PBE.

Calculated values
E_tot, eV per atom: -6.5567
Magnetization, Bohr magnetons per cell: 0.9
Space group: P4/mmm (123)

Cell: 4.317 4.317 3.297 Å, 90.00 90.00 90.00°
Sites, in units of the cell vectors:
Fe  0.000  0.000  0.000
Fe  0.500  0.500  0.000
Si  0.000  0.500  0.500
La  0.500  0.000  0.500


Entry 4:
This record from Alexandria via LeMat-Bulk describes crystalline LaFe2Si at its relaxed geometry. The functional is PBE.

Calculated values
E_tot, eV per atom: -6.5590
Magnetization, Bohr magnetons per cell: 5.3
Space group: F-43m (216)

Cell: 4.669 4.669 4.669 Å, 120.04 120.04 89.94°
Sites, in units of the cell vectors:
Si  0.750  0.250  0.500
Fe  0.000  0.000  0.000
Fe  0.250  0.750  0.500
La  0.500  0.500  0.000


Entry 5:
This record from Alexandria via LeMat-Bulk describes crystalline LaFe2Si at its relaxed geometry. The functional is PBE.

Calculated values
E_tot, eV per atom: -6.7652
Magnetization, Bohr magnetons per cell: 3.9
Space group: Immm (71)

Cell: 4.637 4.637 4.637 Å, 124.86 112.33 92.77°
Sites, in units of the cell vectors:
Fe  0.069  0.069  0.000
Fe  0.431  0.431  0.000
Si  0.250  0.750  0.500
La  0.750  0.250  0.500


Entry 6:
This record from Alexandria via LeMat-Bulk describes crystalline LaFe4Si at its relaxed geometry. The functional is PBE.

Calculated values
E_tot, eV per atom: -7.2366
Magnetization, Bohr magnetons per cell: 8.1
Space group: F-43m (216)

Cell: 5.030 5.030 5.030 Å, 60.00 60.00 60.00°
Sites, in units of the cell vectors:
Fe  0.626  0.626  0.626
Fe  0.626  0.122  0.626
Fe  0.626  0.626  0.122
Fe  0.122  0.626  0.626
La  0.250  0.250  0.250
Si  0.000  0.000  0.000


Entry 7:
This record from Alexandria via LeMat-Bulk describes crystalline La2Fe12Si7 at its relaxed geometry. The functional is PBE.

Calculated values
E_tot, eV per atom: -7.4650
Magnetization, Bohr magnetons per cell: 16.0
Space group: P-6 (174)

Cell: 3.873 9.173 9.173 Å, 120.00 90.00 90.00°
Sites, in units of the cell vectors:
Fe  0.500  0.237  0.475
Fe  0.000  0.888  0.193
Fe  0.500  0.929  0.625
Fe  0.500  0.525  0.763
Fe  0.000  0.049  0.524
Fe  0.500  0.696  0.071
Fe  0.000  0.807  0.695
Fe  0.500  0.237  0.763
Fe  0.000  0.305  0.112
Fe  0.500  0.375  0.304
Fe  0.000  0.476  0.526
Fe  0.000  0.474  0.951
La  0.000  0.667  0.333
La  0.500  0.000  0.000
Si  0.500  0.943  0.362
Si  0.500  0.638  0.581
Si  0.000  0.197  0.303
Si  0.000  0.697  0.893
Si  0.000  0.107  0.803
Si  0.000  0.333  0.667
Si  0.500  0.419  0.057


Entry 8:
This record from Alexandria via LeMat-Bulk describes crystalline LaFe2Si at its relaxed geometry. The functional is PBE.

Calculated values
E_tot, eV per atom: -6.4544
Magnetization, Bohr magnetons per cell: 3.2
Space group: C2/m (12)

Cell: 5.350 5.156 2.979 Å, 73.01 90.36 121.37°
Sites, in units of the cell vectors:
La  0.000  0.500  0.500
Fe  0.000  0.000  0.000
Fe  0.500  0.000  0.500
Si  0.500  0.500  0.000


Entry 9:
This record from Alexandria via LeMat-Bulk describes crystalline LaFeSi at its relaxed geometry. The functional is PBE.

Calculated values
E_tot, eV per atom: -6.3176
Magnetization, Bohr magnetons per cell: 2.7
Space group: F-43m (216)

Cell: 4.466 4.466 4.466 Å, 60.00 60.00 60.00°
Sites, in units of the cell vectors:
Si  0.500  0.500  0.500
Fe  0.750  0.750  0.750
La  0.000  0.000  0.000


Entry 10:
This record from Alexandria via LeMat-Bulk describes crystalline LaFe2Si at its relaxed geometry. The functional is PBE.

Calculated values
E_tot, eV per atom: -6.7931
Magnetization, Bohr magnetons per cell: 7.8
Space group: I4_1/amd (141)

Cell: 4.535 4.535 8.726 Å, 74.94 74.94 90.00°
Sites, in units of the cell vectors:
La  0.000  0.000  0.000
La  0.750  0.250  0.500
Si  0.250  0.750  0.500
Si  0.500  0.500  0.000
Fe  0.375  0.125  0.250
Fe  0.375  0.625  0.750
Fe  0.375  0.625  0.250
Fe  0.875  0.625  0.750


Entry 11:
This record from Alexandria via LeMat-Bulk describes crystalline LaFe8Si5 at its relaxed geometry. The functional is PBE.

Calculated values
E_tot, eV per atom: -7.5488
Magnetization, Bohr magnetons per cell: 14.1
Space group: C2/m (12)

Cell: 8.021 8.021 7.776 Å, 61.01 61.01 92.93°
Sites, in units of the cell vectors:
Fe  0.557  0.201  0.750
Fe  0.443  0.799  0.250
Fe  0.442  0.442  0.870
Fe  0.500  0.500  0.500
Fe  0.795  0.795  0.133
Fe  0.201  0.557  0.750
Fe  0.933  0.933  0.260
Fe  0.067  0.067  0.740
Fe  0.951  0.304  0.499
Fe  0.049  0.696  0.501
Fe  0.304  0.951  0.499
Fe  0.205  0.205  0.867
Fe  0.799  0.443  0.250
Fe  0.696  0.049  0.501
Fe  0.000  0.000  0.500
Fe  0.558  0.558  0.130
Si  0.711  0.711  0.721
Si  0.203  0.452  0.511
Si  0.452  0.203  0.511
Si  0.289  0.289  0.279
Si  0.040  0.290  0.158
Si  0.290  0.040  0.158
Si  0.797  0.548  0.489
Si  0.548  0.797  0.489
Si  0.710  0.960  0.842
Si  0.960  0.710  0.842
La  0.747  0.253  0.000
La  0.253  0.747  0.000


Entry 12:
This record from Alexandria via LeMat-Bulk describes crystalline LaFe2Si at its relaxed geometry. The functional is PBE.

Calculated values
E_tot, eV per atom: -6.4588
Magnetization, Bohr magnetons per cell: 4.2
Space group: R3m (160)

Cell: 8.643 8.643 8.643 Å, 20.65 20.65 20.65°
Sites, in units of the cell vectors:
Fe  0.001  0.001  0.001
Fe  0.269  0.269  0.269
Si  0.730  0.730  0.730
La  0.501  0.501  0.501


Entry 13:
This record from Alexandria via LeMat-Bulk describes crystalline LaFe8Si5 at its relaxed geometry. The functional is PBE.

Calculated values
E_tot, eV per atom: -7.5552
Magnetization, Bohr magnetons per cell: 21.5
Space group: I4/mcm (140)

Cell: 8.019 8.019 8.019 Å, 120.98 120.98 88.31°
Sites, in units of the cell vectors:
Si  0.689  0.554  0.500
Si  0.311  0.446  0.500
Si  0.811  0.311  0.865
Si  0.946  0.811  0.500
Si  0.054  0.189  0.500
Si  0.446  0.946  0.135
Si  0.500  0.000  0.500
Si  0.554  0.054  0.865
Si  0.000  0.500  0.500
Si  0.189  0.689  0.135
Fe  0.288  0.788  0.726
Fe  0.440  0.298  0.738
Fe  0.060  0.798  0.858
Fe  0.438  0.712  0.500
Fe  0.562  0.288  0.500
Fe  0.702  0.440  0.142
Fe  0.712  0.212  0.274
Fe  0.298  0.560  0.858
Fe  0.788  0.062  0.500
Fe  0.062  0.562  0.274
Fe  0.798  0.940  0.738
Fe  0.938  0.438  0.726
Fe  0.560  0.702  0.262
Fe  0.940  0.202  0.142
Fe  0.212  0.938  0.500
Fe  0.202  0.060  0.262
La  0.250  0.250  0.000
La  0.750  0.750  0.000


Entry 14:
This record from Alexandria via LeMat-Bulk describes crystalline La4FeSi at its relaxed geometry. The functional is PBE.

Calculated values
E_tot, eV per atom: -4.9022
Magnetization, Bohr magnetons per cell: 2.3
Space group: F-43m (216)

Cell: 6.301 6.301 6.301 Å, 60.00 60.00 60.00°
Sites, in units of the cell vectors:
La  0.376  0.376  0.872
La  0.376  0.872  0.376
La  0.376  0.376  0.376
La  0.872  0.376  0.376
Si  0.750  0.750  0.750
Fe  0.000  0.000  0.000


Entry 15:
This record from Alexandria via LeMat-Bulk describes crystalline LaFe2Si at its relaxed geometry. The functional is PBE.

Calculated values
E_tot, eV per atom: -6.8629
Magnetization, Bohr magnetons per cell: 3.0
Space group: Pm (6)

Cell: 4.029 3.852 4.988 Å, 71.84 90.00 90.00°
Sites, in units of the cell vectors:
Fe  0.000  0.941  0.027
Fe  0.500  0.231  0.115
La  0.000  0.485  0.526
Si  0.500  0.843  0.831


Entry 16:
This record from Alexandria via LeMat-Bulk describes crystalline LaFe2Si at its relaxed geometry. The functional is PBE.

Calculated values
E_tot, eV per atom: -6.7963
Magnetization, Bohr magnetons per cell: 3.4
Space group: P2/m (10)

Cell: 3.140 3.151 7.360 Å, 64.73 90.00 90.00°
Sites, in units of the cell vectors:
Si  0.500  0.750  0.750
Fe  0.000  0.082  0.918
Fe  0.000  0.418  0.582
La  0.500  0.250  0.250


Entry 17:
This record from Alexandria via LeMat-Bulk describes crystalline La3Fe4Si4 at its relaxed geometry. The functional is PBE.

Calculated values
E_tot, eV per atom: -6.9402
Magnetization, Bohr magnetons per cell: 0.0
Space group: I-43m (217)

Cell: 6.320 6.320 6.320 Å, 109.47 109.47 109.47°
Sites, in units of the cell vectors:
La  0.500  0.500  0.000
La  0.500  0.000  0.500
La  0.000  0.500  0.500
Si  0.000  0.623  0.000
Si  0.377  0.377  0.377
Si  0.623  0.000  0.000
Si  0.000  0.000  0.623
Fe  0.747  0.747  0.747
Fe  0.000  0.253  0.000
Fe  0.000  0.000  0.253
Fe  0.253  0.000  0.000


Entry 18:
This record from Alexandria via LeMat-Bulk describes crystalline LaFeSi at its relaxed geometry. The functional is PBE.

Calculated values
E_tot, eV per atom: -6.6460
Magnetization, Bohr magnetons per cell: 1.6
Space group: P-6m2 (187)

Cell: 4.101 4.101 4.297 Å, 90.00 90.00 120.00°
Sites, in units of the cell vectors:
Si  0.333  0.667  0.833
Fe  0.000  0.000  0.833
La  0.667  0.333  0.333


Entry 19:
This record from Alexandria via LeMat-Bulk describes crystalline LaFeSi2Tc at its relaxed geometry. The functional is PBE.

Calculated values
E_tot, eV per atom: -7.5128
Magnetization, Bohr magnetons per cell: 1.2
Space group: I-4m2 (119)

Cell: 4.146 4.146 5.887 Å, 110.62 110.62 90.00°
Sites, in units of the cell vectors:
Fe  0.250  0.750  0.500
Si  0.366  0.366  0.732
Si  0.634  0.634  0.268
Tc  0.750  0.250  0.500
La  0.000  0.000  0.000


Entry 20:
This record from Alexandria via LeMat-Bulk describes crystalline La2FeSi2Tc at its relaxed geometry. The functional is PBE.

Calculated values
E_tot, eV per atom: -7.1620
Magnetization, Bohr magnetons per cell: 0.0
Space group: Ibam (72)

Cell: 6.031 6.045 8.129 Å, 111.83 111.77 90.00°
Sites, in units of the cell vectors:
Tc  0.000  0.250  0.000
Tc  0.000  0.750  0.000
La  0.903  0.656  0.312
La  0.097  0.344  0.688
La  0.591  0.844  0.688
La  0.409  0.156  0.312
Fe  0.500  0.250  0.000
Fe  0.500  0.750  0.000
Si  0.656  0.418  0.837
Si  0.819  0.082  0.163
Si  0.181  0.918  0.837
Si  0.344  0.582  0.163